[1]
A plane-wave DFT calculation with PBE was carried out for an optimized crystal structure of TbPuCuRu.

- ΔE_f (eV/atom) = -0.1259

Cell and atoms, written as CIF:
```
data_TbPuCuRu
_chemical_formula_sum 'Tb4 Pu4 Cu4 Ru4'
_cell_length_a 6.8733
_cell_length_b 6.8733
_cell_length_c 6.8733
_cell_angle_alpha 90.00
_cell_angle_beta 90.00
_cell_angle_gamma 90.00
_symmetry_space_group_name_H-M 'F -4 3 m'
_symmetry_Int_Tables_number 216
_symmetry_space_group_name_Hall 'F -4 2 3'
loop_
_atom_site_label
_atom_site_fract_x
_atom_site_fract_y
_atom_site_fract_z
Tb1 0.0000 0.0000 0.0000
Pu1 0.0000 0.0000 0.5000
Cu1 0.2500 0.2500 0.7500
Ru1 0.2500 0.2500 0.2500
```

[2]
A plane-wave DFT calculation with PBE was carried out for an optimized crystal structure of Er5Ti.

- ΔE_f (eV/atom) = 0.1329

Cell and atoms, written as CIF:
```
data_Er5Ti
_chemical_formula_sum 'Er10 Ti2'
_cell_length_a 4.8117
_cell_length_b 14.3937
_cell_length_c 4.8477
_cell_angle_alpha 90.00
_cell_angle_beta 90.00
_cell_angle_gamma 90.00
_symmetry_space_group_name_H-M 'C m m m'
_symmetry_Int_Tables_number 65
_symmetry_space_group_name_Hall '-C 2 2'
loop_
_atom_site_label
_atom_site_fract_x
_atom_site_fract_y
_atom_site_fract_z
Er1 0.0000 0.0000 0.0000
Er2 0.0000 0.1581 0.5000
Er3 0.0000 0.3399 0.0000
Ti1 0.0000 0.5000 0.5000
```

[3]
A plane-wave DFT calculation with PBE was carried out for an optimized crystal structure of ErTmThIn.

- ΔE_f (eV/atom) = -0.0101

Cell and atoms, written as CIF:
```
data_ErTmThIn
_chemical_formula_sum 'Er4 Tm4 Th4 In4'
_cell_length_a 7.6843
_cell_length_b 7.6843
_cell_length_c 7.6843
_cell_angle_alpha 90.00
_cell_angle_beta 90.00
_cell_angle_gamma 90.00
_symmetry_space_group_name_H-M 'F -4 3 m'
_symmetry_Int_Tables_number 216
_symmetry_space_group_name_Hall 'F -4 2 3'
loop_
_atom_site_label
_atom_site_fract_x
_atom_site_fract_y
_atom_site_fract_z
Er1 0.0000 0.0000 0.0000
Tm1 0.0000 0.0000 0.5000
Th1 0.2500 0.2500 0.2500
In1 0.2500 0.2500 0.7500
```

[4]
A plane-wave DFT calculation with PBE was carried out for an optimized crystal structure of ScSi2As.

- energy relative to the elements, uncorrected (eV/atom) = -0.21

Cell and atoms, written as CIF:
```
data_ScSi2As
_chemical_formula_sum 'Sc2 Si4 As2'
_cell_length_a 3.4450
_cell_length_b 4.7639
_cell_length_c 8.3581
_cell_angle_alpha 90.00
_cell_angle_beta 90.00
_cell_angle_gamma 90.00
_symmetry_space_group_name_H-M 'I m m 2'
_symmetry_Int_Tables_number 44
loop_
_symmetry_equiv_pos_as_xyz
'x,y,z'
'-x,-y,z'
'-x,y,z'
'x,-y,z'
'x+1/2,y+1/2,z+1/2'
'-x+1/2,-y+1/2,z+1/2'
'-x+1/2,y+1/2,z+1/2'
'x+1/2,-y+1/2,z+1/2'
loop_
_atom_site_label
_atom_site_fract_x
_atom_site_fract_y
_atom_site_fract_z
Sc1 0.0000 0.0000 0.0000
Si1 0.0000 0.0000 0.4830
Si2 0.0000 0.5000 0.7659
As1 0.0000 0.5000 0.2234
```

[5]
A plane-wave DFT calculation with PBE was carried out for an optimized crystal structure of Nb2ReTc2.

- ΔE_f (eV/atom) = 0.3141

Cell and atoms, written as CIF:
```
data_Nb2ReTc2
_chemical_formula_sum 'Nb4 Re2 Tc4'
_cell_length_a 7.2240
_cell_length_b 7.2240
_cell_length_c 3.1817
_cell_angle_alpha 90.00
_cell_angle_beta 90.00
_cell_angle_gamma 90.00
_symmetry_space_group_name_H-M 'P 4/m b m'
_symmetry_Int_Tables_number 127
_symmetry_space_group_name_Hall '-P 4 2ab'
loop_
_atom_site_label
_atom_site_fract_x
_atom_site_fract_y
_atom_site_fract_z
Nb1 0.1805 0.3195 0.0000
Re1 0.0000 0.0000 0.5000
Tc1 0.1269 0.6269 0.5000
```

[6]
A plane-wave DFT calculation with PBE was carried out for an optimized crystal structure of Pr4TlPSe2.

- energy relative to the elements, uncorrected (eV/atom) = -1.38

Cell and atoms, written as CIF:
```
data_Pr4TlPSe2
_chemical_formula_sum 'Pr4 Tl1 P1 Se2'
_cell_length_a 7.5288
_cell_length_b 4.2620
_cell_length_c 7.5728
_cell_angle_alpha 90.00
_cell_angle_beta 108.82
_cell_angle_gamma 90.00
_symmetry_space_group_name_H-M 'P 1 2/m 1'
_symmetry_Int_Tables_number 10
loop_
_symmetry_equiv_pos_as_xyz
'x,y,z'
'-x,-y,-z'
'-x,y,-z'
'x,-y,z'
loop_
_atom_site_label
_atom_site_fract_x
_atom_site_fract_y
_atom_site_fract_z
Pr1 0.2402 0.0000 0.2339
Pr2 0.2560 0.5000 0.7651
Tl1 0.0000 0.0000 0.5000
P1 0.0000 0.5000 0.0000
Se1 0.5000 0.0000 0.0000
Se2 0.5000 0.5000 0.5000
```

[7]
A plane-wave DFT calculation with PBE was carried out for an optimized crystal structure of Nd4In2I5.

- energy relative to the elements, uncorrected (eV/atom) = -0.91

Cell and atoms, written as CIF:
```
data_Nd4In2I5
_chemical_formula_sum 'Nd8 In4 I10'
_cell_length_a 25.2774
_cell_length_b 4.1165
_cell_length_c 9.1184
_cell_angle_alpha 90.00
_cell_angle_beta 95.19
_cell_angle_gamma 90.00
_symmetry_space_group_name_H-M 'C 1 2/m 1'
_symmetry_Int_Tables_number 12
loop_
_symmetry_equiv_pos_as_xyz
'x,y,z'
'-x,-y,-z'
'-x,y,-z'
'x,-y,z'
'x+1/2,y+1/2,z'
'-x+1/2,-y+1/2,-z'
'-x+1/2,y+1/2,-z'
'x+1/2,-y+1/2,z'
loop_
_atom_site_label
_atom_site_fract_x
_atom_site_fract_y
_atom_site_fract_z
Nd1 0.0259 0.0000 0.2797
Nd2 0.1691 0.5000 0.4340
In1 0.0566 0.5000 0.5526
I1 0.0000 0.5000 0.0000
I2 0.1436 0.0000 0.1700
I3 0.2129 0.0000 0.6848
```

[8]
A plane-wave DFT calculation with PBE was carried out for an optimized crystal structure of Pu2PaBr6.

- energy relative to the elements, uncorrected (eV/atom) = -1.32

Cell and atoms, written as CIF:
```
data_Pu2PaBr6
_chemical_formula_sum 'Pu4 Pa2 Br12'
_cell_length_a 18.8798
_cell_length_b 3.8913
_cell_length_c 8.9057
_cell_angle_alpha 90.00
_cell_angle_beta 112.79
_cell_angle_gamma 90.00
_symmetry_space_group_name_H-M 'C 1 2/m 1'
_symmetry_Int_Tables_number 12
loop_
_symmetry_equiv_pos_as_xyz
'x,y,z'
'-x,-y,-z'
'-x,y,-z'
'x,-y,z'
'x+1/2,y+1/2,z'
'-x+1/2,-y+1/2,-z'
'-x+1/2,y+1/2,-z'
'x+1/2,-y+1/2,z'
loop_
_atom_site_label
_atom_site_fract_x
_atom_site_fract_y
_atom_site_fract_z
Pu1 0.1584 0.0000 0.3146
Pa1 0.0000 0.5000 0.0000
Br1 0.0081 0.0000 0.7526
Br2 0.1675 0.5000 0.0724
Br3 0.1707 0.5000 0.5754
```